# 1
The following is a GGA-PBEsol calculation of an optimized crystal structure of Cr2GeSCl, from the Alexandria database.

Unit cell a=4.2357 b=4.2357 c=5.7967 alpha=90.00 beta=90.00 gamma=90.00
Space group P4/mmm (No. 123)
Inequivalent atoms, fractional coordinates:
Cr 0.0000 0.5000 0.0000 [2 per cell]
Ge 0.0000 0.0000 0.5000 [1 per cell]
S 0.5000 0.5000 0.5000 [1 per cell]
Cl 0.5000 0.5000 0.0000 [1 per cell]

Summary:
Formation energy without anion corrections: 0.96 eV per atom

# 2
The following is a GGA-PBEsol calculation of an optimized crystal structure of CrH2Cl, from the Alexandria database.

Unit cell a=6.2988 b=6.2988 c=4.6870 alpha=90.00 beta=90.00 gamma=90.00
Space group I-42d (No. 122)
Inequivalent atoms, fractional coordinates:
Cr 0.0000 0.0000 0.0000 [4 per cell]
H 0.0809 0.2500 0.1250 [8 per cell]
Cl 0.0000 0.0000 0.5000 [4 per cell]

Summary:
Calculated total energy: -73.0 eV for the cell shown

# 3
The following is a GGA-PBEsol calculation of an optimized crystal structure of CrHCl2, from the Alexandria database.

Unit cell a=5.2404 b=5.2404 c=9.7112 alpha=90.00 beta=90.00 gamma=90.00
Space group I-42d (No. 122)
Inequivalent atoms, fractional coordinates:
Cr 0.0000 0.0000 0.0000 [4 per cell]
H 0.0000 0.0000 0.5000 [4 per cell]
Cl 0.1865 0.2500 0.6250 [8 per cell]

Summary:
Calculated total energy: -69.0 eV for the cell shown

# 4
The following is a GGA-PBEsol calculation of an optimized crystal structure of HfCrTeCl2, from the Alexandria database.

Unit cell a=4.7716 b=4.7716 c=5.7263 alpha=90.00 beta=90.00 gamma=90.00
Space group P4/mmm (No. 123)
Inequivalent atoms, fractional coordinates:
Hf 0.0000 0.0000 0.0000 [1 per cell]
Cr 0.5000 0.5000 0.5000 [1 per cell]
Te 0.0000 0.0000 0.5000 [1 per cell]
Cl 0.0000 0.5000 0.0000 [2 per cell]

Summary:
Formation energy without anion corrections: -0.36 eV per atom

# 5
The following is a GGA-PBEsol calculation of an optimized crystal structure of CrHgCl2, from the Alexandria database.

Unit cell a=6.6255 b=7.5953 c=3.8487 alpha=90.00 beta=114.30 gamma=90.00
Space group C2/m (No. 12)
Inequivalent atoms, fractional coordinates:
Cr 0.0000 0.0000 0.0000 [2 per cell]
Hg 0.0000 0.5000 0.0000 [2 per cell]
Cl 0.2500 0.2500 0.5000 [4 per cell]

Summary:
Energy above the most stable polymorph in this dataset: 571 meV per atom
Formation energy without anion corrections: 0.01 eV per atom

# 6
The following is a GGA-PBEsol calculation of an optimized crystal structure of CrHgCl3, from the Alexandria database.

Unit cell a=5.1562 b=5.1562 c=5.1562 alpha=90.00 beta=90.00 gamma=90.00
Space group Pm-3m (No. 221)
Inequivalent atoms, fractional coordinates:
Cr 0.0000 0.0000 0.0000 [1 per cell]
Hg 0.5000 0.5000 0.5000 [1 per cell]
Cl 0.0000 0.5000 0.5000 [3 per cell]

Summary:
Formation energy without anion corrections: 0.11 eV per atom

# 7
The following is a GGA-PBEsol calculation of an optimized crystal structure of CrHgCl2, from the Alexandria database.

Unit cell a=3.2921 b=3.2921 c=30.2891 alpha=90.00 beta=90.00 gamma=120.00
Space group R-3m (No. 166, hexagonal axes)
Inequivalent atoms, fractional coordinates:
Cr 0.0000 0.0000 0.0000 [3 per cell]
Hg 0.0000 0.0000 0.5000 [3 per cell]
Cl 0.0000 0.0000 0.0707 [6 per cell]

Summary:
Energy above the most stable polymorph in this dataset: 503 meV per atom
Formation energy without anion corrections: -0.05 eV per atom

# 8
The following is a GGA-PBEsol calculation of an optimized crystal structure of Cr2HgCl, from the Alexandria database.

Unit cell a=6.6862 b=6.6862 c=6.6862 alpha=90.00 beta=90.00 gamma=90.00
Space group Fm-3m (No. 225)
Inequivalent atoms, fractional coordinates:
Cr 0.2500 0.2500 0.2500 [8 per cell]
Hg 0.0000 0.0000 0.0000 [4 per cell]
Cl 0.0000 0.0000 0.5000 [4 per cell]

Summary:
Energy above the most stable polymorph in this dataset: 0 meV per atom
Formation energy without anion corrections: 0.69 eV per atom

# 9
The following is a GGA-PBEsol calculation of an optimized crystal structure of CrHgCl2, from the Alexandria database.

Unit cell a=11.5835 b=3.2933 c=6.1166 alpha=90.00 beta=121.70 gamma=90.00
Space group C2/m (No. 12)
Inequivalent atoms, fractional coordinates:
Cr 0.0000 0.0000 0.0000 [2 per cell]
Hg 0.0000 0.5000 0.5000 [2 per cell]
Cl 0.1662 0.5000 0.1654 [4 per cell]

Summary:
Energy above the most stable polymorph in this dataset: 22 meV per atom
Formation energy without anion corrections: -0.53 eV per atom

# 10
The following is a GGA-PBEsol calculation of an optimized crystal structure of Cr2HgCl, from the Alexandria database.

Unit cell a=6.6263 b=6.6263 c=6.6263 alpha=90.00 beta=90.00 gamma=90.00
Space group F-43m (No. 216)
Inequivalent atoms, fractional coordinates:
Cr 0.0000 0.0000 0.0000 [4 per cell]
Cr 0.2500 0.2500 0.2500 [4 per cell]
Hg 0.0000 0.0000 0.5000 [4 per cell]
Cl 0.2500 0.2500 0.7500 [4 per cell]

Summary:
Energy above the most stable polymorph in this dataset: 59 meV per atom
Formation energy without anion corrections: 0.75 eV per atom

# 11
The following is a GGA-PBEsol calculation of an optimized crystal structure of CrHgCl2, from the Alexandria database.

Unit cell a=11.5916 b=3.3269 c=6.0065 alpha=90.00 beta=118.64 gamma=90.00
Space group Cm (No. 8)
Inequivalent atoms, fractional coordinates:
Cr 0.0000 0.0000 0.0000 [2 per cell]
Hg 0.2389 0.0000 0.4927 [2 per cell]
Cl 0.0824 0.5000 0.8452 [2 per cell]
Cl 0.4117 0.0000 0.1430 [2 per cell]

Summary:
Energy above the most stable polymorph in this dataset: 0 meV per atom
Formation energy without anion corrections: -0.56 eV per atom

# 12
The following is a GGA-PBEsol calculation of an optimized crystal structure of CrHgCl2, from the Alexandria database.

Unit cell a=6.8537 b=6.8537 c=6.8537 alpha=90.00 beta=90.00 gamma=90.00
Space group Fm-3m (No. 225)
Inequivalent atoms, fractional coordinates:
Cr 0.0000 0.0000 0.0000 [4 per cell]
Hg 0.0000 0.0000 0.5000 [4 per cell]
Cl 0.2500 0.2500 0.2500 [8 per cell]

Summary:
Energy above the most stable polymorph in this dataset: 591 meV per atom
Formation energy without anion corrections: 0.03 eV per atom